Model 1:
A relaxed TcMo2Os crystal, computed with PBE.

The calculation puts the volume at 15.250 Å³/atom. The value obtained for the density of states at the Fermi level is 4.6 states/eV/f.u. The calculation puts the size of the total moment at 0.00 μB per formula unit. For the mass density, the calculation gives 13.070 Mg/m³. Its space group is P2/m.

Cell: 4.3675 2.7160 5.2181 Å, 80.22 90.00 90.00°
Closest atoms and distances in Å follow each position.
Fractional positions:
Tc1 0.5000 0.7500 0.7500  4 Mo 2.66, 2 Tc 2.72, 2 Os 2.73
Os1 0.5000 0.2500 0.2500  2 Os 2.72, 4 Mo 2.72, 2 Tc 2.73
Mo1 0.0000 0.9575 0.0028  4 Mo 2.63-2.84, 2 Tc 2.66, 2 Os 2.72
Mo2 0.0000 0.5425 0.4972  4 Mo 2.63-2.84, 2 Tc 2.66, 2 Os 2.72



Model 2:
A relaxed TcMo2Os crystal, computed with PBE.

The calculation puts the volume at 15.250 Å³/atom. The value obtained for the density of states at the Fermi level is 4.1 states/eV/f.u. The calculation puts the size of the total moment at 0.00 μB per formula unit. For the mass density, the calculation gives 13.069 Mg/m³. Its space group is F-43m.

Cell: 4.4186 4.4186 4.4186 Å, 60.00 60.00 60.00°
Closest atoms and distances in Å follow each position.
Fractional positions:
Mo1 0.0000 0.0000 0.0000  4 Mo 2.71, 4 Tc 2.71
Mo2 0.2500 0.2500 0.2500  4 Mo 2.71, 4 Os 2.71
Os1 0.5000 0.5000 0.5000  4 Mo 2.71, 4 Tc 2.71
Tc1 0.7500 0.7500 0.7500  4 Mo 2.71, 4 Os 2.71



Which is most stable, and by how much? model 1, by 0.031 eV/atom.



Model 1:
A relaxed TeAsW2 crystal, computed with PBE.

The calculation puts the volume at 20.153 Å³/atom. The value obtained for the density of states at the Fermi level is 4.2 states/eV/f.u. The calculation puts the size of the total moment at 0.00 μB per formula unit. For the mass density, the calculation gives 11.746 Mg/m³. Its space group is P4mm.

Cell: 3.1928 3.1928 7.9076 Å, 90.00 90.00 90.00°
Closest atoms and distances in Å follow each position.
Fractional positions:
W1 0.5000 0.5000 0.2429  4 As 2.64, 4 W 2.81
W2 0.0000 0.0000 0.0322  4 W 2.81, 4 Te 2.87, 1 As 3.03
As1 0.0000 0.0000 0.4159  4 W 2.64
Te1 0.5000 0.5000 0.8091  4 W 2.87, 4 Te 3.19



Model 2:
A relaxed TeAsW2 crystal, computed with PBE.

The calculation puts the volume at 17.975 Å³/atom. The value obtained for the density of states at the Fermi level is 2.2 states/eV/f.u. The calculation puts the size of the total moment at 0.00 μB per formula unit. For the mass density, the calculation gives 13.169 Mg/m³. Its space group is Imm2.

Cell: 5.8815 5.8815 5.8815 Å, 147.55 138.49 53.65°
Closest atoms and distances in Å follow each position.
Fractional positions:
Te1 0.7186 0.2186 0.5000  6 W 2.73-2.85
W1 0.0341 0.0341 0.0000  4 As 2.75, 2 Te 2.85, 2 W 3.06
W2 0.2800 0.7800 0.5000  2 As 2.56, 4 Te 2.73
As1 0.4673 0.4673 0.0000  6 W 2.56-2.75



Which is most stable, and by how much? model 1, by 0.316 eV/atom.



Model 1:
A relaxed KBe2Ag crystal, computed with PBE.

The calculation puts the volume at 18.519 Å³/atom. The value obtained for the density of states at the Fermi level is 1.0 states/eV/f.u. The calculation puts the size of the total moment at 0.00 μB per formula unit. For the mass density, the calculation gives 3.698 Mg/m³. Its space group is Pmmm.

Cell: 2.8251 5.1738 5.0680 Å, 90.00 90.00 90.00°
Closest atoms and distances in Å follow each position.
Fractional positions:
Be1 0.5000 0.5000 0.0000  6 Be 2.83-2.95, 4 Ag 2.90
Be2 0.0000 0.0000 0.0000  6 Be 2.83-2.95, 4 K 2.90
Ag1 0.0000 0.5000 0.5000  2 Ag 2.83, 4 Be 2.90, 4 K 2.95
K1 0.5000 0.0000 0.5000  2 K 2.83, 4 Be 2.90, 4 Ag 2.95



Model 2:
A relaxed KBe2Ag crystal, computed with PBE.

The calculation puts the volume at 20.386 Å³/atom. The value obtained for the density of states at the Fermi level is 2.0 states/eV/f.u. The calculation puts the size of the total moment at 0.00 μB per formula unit. For the mass density, the calculation gives 3.360 Mg/m³. Its space group is P4/mmm.

Cell: 4.5486 4.2341 4.2341 Å, 90.00 90.00 90.00°
Closest atoms and distances in Å follow each position.
Fractional positions:
Ag1 0.5000 0.0000 0.5000  4 K 2.99, 8 Be 3.11
K1 0.5000 0.5000 0.0000  4 Ag 2.99, 8 Be 3.11
Be1 0.0000 0.5000 0.5000  4 Be 2.99, 4 K 3.11, 4 Ag 3.11
Be2 0.0000 0.0000 0.0000  4 Be 2.99, 4 K 3.11, 4 Ag 3.11



Which is most stable, and by how much? model 1, by 0.098 eV/atom.



Model 1:
A relaxed BC2 crystal, computed with PBE.

The calculation puts the volume at 6.377 Å³/atom. The value obtained for the density of states at the Fermi level is 0.7 states/eV/f.u. The calculation puts the size of the total moment at 0.00 μB per formula unit. For the mass density, the calculation gives 3.023 Mg/m³. Its space group is Pm.

Cell: 2.5760 4.6382 6.4188 Å, 93.74 90.00 90.00°
Closest atoms and distances in Å follow each position.
Fractional positions:
B1 0.0000 0.0012 0.9956  4 C 1.62-1.65
B2 0.0000 0.3399 0.3324  4 C 1.62-1.69
B3 0.5000 0.8271 0.3384  4 C 1.60-1.62
B4 0.0000 0.6732 0.6619  4 C 1.62-1.74
C1 0.0000 0.3231 0.5915  2 C 1.56, 2 B 1.66-1.67
C2 0.0000 0.6509 0.9310  2 C 1.55, 2 B 1.65-1.74
C3 0.5000 0.4985 0.2387  1 C 1.54, 3 B 1.61-1.62
C4 0.5000 0.1806 0.9078  2 C 1.54, 2 B 1.65
C5 0.5000 0.4957 0.9992  4 C 1.54-1.55
C6 0.5000 0.8519 0.5886  1 C 1.53, 3 B 1.60-1.62
C7 0.0000 0.9878 0.2475  4 B 1.62-1.69
C8 0.5000 0.1700 0.6671  4 C 1.53-1.56



Model 2:
A relaxed BC2 crystal, computed with PBE.

The calculation puts the volume at 6.243 Å³/atom. The value obtained for the density of states at the Fermi level is 0.3 states/eV/f.u. The calculation puts the size of the total moment at 0.00 μB per formula unit. For the mass density, the calculation gives 3.088 Mg/m³. Its space group is Cm.

Cell: 4.4263 4.4263 8.0411 Å, 118.86 118.86 33.40°
Closest atoms and distances in Å follow each position.
Fractional positions:
C1 0.8198 0.8198 0.5571  3 C 1.53-1.56, 1 B 1.61
C2 0.1662 0.1662 0.7051  4 C 1.53-1.60
C3 0.9755 0.9755 0.5072  4 C 1.55-1.60
C4 0.4555 0.4555 0.3878  2 C 1.55, 2 B 1.65-1.72
C5 0.0221 0.0221 0.9987  1 C 1.52, 3 B 1.59-1.64
C6 0.8555 0.8555 0.0226  2 C 1.52-1.56, 2 B 1.61
C7 0.6780 0.6780 0.8219  3 C 1.55-1.56, 1 B 1.59
C8 0.3240 0.3240 0.6645  3 C 1.53, 1 B 1.61
B1 0.5150 0.5150 0.8662  4 C 1.59-1.64
B2 0.6372 0.6372 0.3482  2 C 1.61-1.72, 2 B 1.80
B3 0.1802 0.1802 0.2182  1 C 1.59
B4 0.3711 0.3711 0.1525  3 C 1.61-1.65



Which is most stable, and by how much? model 2, by 0.025 eV/atom.